1.
Entry from Alexandria: an optimized crystal structure of KCd2Sb (PBE).

a b c (Å): 3.514 4.708 7.112
angles (deg): 90.00 90.00 90.00
Space group Pmmm (No. 47)
Inequivalent atoms, fractional coordinates:
K (0.000, 0.000, 0.000) [1 per cell]
Cd (0.500, 0.500, 0.278) [2 per cell]
Sb (0.000, 0.000, 0.500) [1 per cell]

Summary:
Magnetic moment ... 0.0 μB/f.u.
Calculated volume ... 29.41 Å³ per atom
Crystal system ... orthorhombic
Formation energy from raw total energies ... -2 kJ/mol of atoms



2.
Entry from Alexandria: an optimized crystal structure of Na3VPd (PBE).

a b c (Å): 5.494 5.494 5.494
angles (deg): 90.00 90.00 90.00
Space group Pm-3m (No. 221)
Inequivalent atoms, fractional coordinates:
Na (0.000, 0.000, 0.500) [3 per cell]
V (0.000, 0.000, 0.000) [1 per cell]
Pd (0.500, 0.500, 0.500) [1 per cell]

Summary:
Magnetic moment ... 4.6 μB/f.u.
Calculated volume ... 33.16 Å³ per atom
Crystal system ... cubic
Formation enthalpy at 0 K ... 1.23 eV/atom



3.
Entry from Alexandria: an optimized crystal structure of SbMoPt2 (PBE).

a b c (Å): 2.934 4.526 5.185
angles (deg): 90.00 90.04 90.00
Space group Pm (No. 6)
Inequivalent atoms, fractional coordinates:
Sb (0.000, 0.000, 0.000) [1 per cell]
Mo (0.994, 0.500, 0.334) [1 per cell]
Pt (0.495, 0.000, 0.489) [1 per cell]
Pt (0.495, 0.500, 0.805) [1 per cell]

Summary:
Magnetic moment ... 0.0 μB/f.u.
Calculated volume ... 17.21 Å³ per atom
Crystal system ... monoclinic
Formation energy from raw total energies ... -2 kJ/mol of atoms



4.
Entry from Alexandria: an optimized crystal structure of Hf2CoPt (PBE).

a b c (Å): 3.179 3.179 6.748
angles (deg): 90.00 90.00 90.00
Space group P4/mmm (No. 123)
Inequivalent atoms, fractional coordinates:
Hf (0.000, 0.000, 0.233) [2 per cell]
Co (0.500, 0.500, 0.000) [1 per cell]
Pt (0.500, 0.500, 0.500) [1 per cell]

Summary:
Magnetic moment ... 0.6 μB/f.u.
Calculated volume ... 17.05 Å³ per atom
Crystal system ... tetragonal
Formation enthalpy at 0 K ... -0.68 eV/atom



What did the second record say?
Entry from Alexandria: an optimized crystal structure of Na3VPd (PBE).

a b c (Å): 5.494 5.494 5.494
angles (deg): 90.00 90.00 90.00
Space group Pm-3m (No. 221)
Inequivalent atoms, fractional coordinates:
Na (0.000, 0.000, 0.500) [3 per cell]
V (0.000, 0.000, 0.000) [1 per cell]
Pd (0.500, 0.500, 0.500) [1 per cell]

Summary:
Magnetic moment ... 4.6 μB/f.u.
Calculated volume ... 33.16 Å³ per atom
Crystal system ... cubic
Formation enthalpy at 0 K ... 1.23 eV/atom